First-principles (PBE-GGA) data for crystalline GaH2O at its relaxed geometry, as listed in Alexandria via LeMat-Bulk.

Total magnetic moment in μB/atom: 0.00
Offset from the most stable computed form in eV/atom: 0.110

POSCAR file:
```
GaH2O
1.0
3.120 0.000 0.014
1.559 2.703 -0.011
0.552 0.914 7.773
H O Ga
2 1 1
direct
0.110 0.690 0.162 H
0.932 0.792 0.235 H
0.369 0.615 0.792 O
0.705 0.978 0.701 Ga
```